No. 1
PBE TiInNi2, relaxed; calculated formation energy = 57.4 kJ/mol of formula units; SG = I-42d
1.0
-1.8724 1.4445 6.4054
3.0128 -5.7292 2.1727
2.9266 -0.7602 4.6662
Ni In Ti
4 2 2
Direct
0.8750 0.8442 0.7500
0.1558 0.6250 0.2500
0.5942 0.1250 0.2500
0.3750 0.4058 0.7500
0.0000 0.0000 0.0000
0.7500 0.2500 0.5000
0.2500 0.7500 0.5000
0.5000 0.5000 0.0000

=====

No. 2
PBE Ti3InNi4, relaxed; calculated formation energy = -264.4 kJ/mol of formula units; SG = Pmma
1.0
4.3353 0.0000 0.0000
0.0000 6.0164 0.0000
0.0000 0.0000 8.6703
Ni Ti In
8 6 2
Direct
0.0028 0.2233 0.7500
0.5000 0.2233 0.0000
0.5000 0.7767 0.5000
0.9972 0.7767 0.2500
0.5000 0.7767 0.0000
0.0028 0.7767 0.7500
0.5000 0.2233 0.5000
0.9972 0.2233 0.2500
0.4993 0.5000 0.2500
0.4986 0.0000 0.2500
0.5014 0.0000 0.7500
0.0000 0.0000 0.0000
0.0000 0.0000 0.5000
0.5007 0.5000 0.7500
0.0000 0.5000 0.0000
0.0000 0.5000 0.5000

=====

No. 3
PBE TiInNi2, relaxed; calculated formation energy = -77.4 kJ/mol of formula units; SG = P4/mmm
1.0
3.1397 0.0000 0.0000
0.0000 4.3133 0.0000
0.0000 0.0000 4.3133
Ni In Ti
2 1 1
Direct
0.0000 0.5000 0.0000
0.0000 0.0000 0.5000
0.5000 0.5000 0.5000
0.5000 0.0000 0.0000